First-principles (PBE) data for Mg2SbAu after structural relaxation, as listed in Alexandria.

For the raw formation energy, the calculation gives -1.5 eV/f.u. The value obtained for the volume is 89 Å³ per cell. The total energy comes out at -12.04 eV per formula unit.

Geometry as POSCAR:
```
Mg2SbAu
1.0
5.646 0.078 0.001
4.309 3.649 0.001
-0.001 0.000 4.387
Au Mg Sb
1 2 1
Cartesian
2.788 1.044 0.549
0.277 0.104 0.548
7.296 2.732 2.744
4.569 1.711 2.743
```



First-principles (PBE) data for MgSb2Au after structural relaxation, as listed in Alexandria.

For the raw formation energy, the calculation gives 0.2 eV/f.u. The value obtained for the volume is 94 Å³ per cell. The total energy comes out at -12.93 eV per formula unit.

Geometry as POSCAR:
```
MgSb2Au
1.0
3.416 0.000 0.000
0.000 3.416 0.000
0.000 0.000 8.062
Sb Au Mg
2 1 1
Cartesian
0.000 0.000 0.077
0.000 0.000 3.954
1.708 1.708 2.015
1.708 1.708 6.046
```



First-principles (PBE) data for Mg2SbAu after structural relaxation, as listed in Alexandria.

For the raw formation energy, the calculation gives -1.2 eV/f.u. The value obtained for the volume is 90 Å³ per cell. The total energy comes out at -11.78 eV per formula unit.

Geometry as POSCAR:
```
Mg2SbAu
1.0
-0.723 -2.948 1.369
3.454 -1.841 -2.141
3.612 1.300 4.708
Mg Sb Au
2 1 1
Cartesian
2.358 -2.038 0.907
3.396 1.222 4.427
1.624 0.585 2.117
4.382 -1.309 3.546
```



First-principles (PBE) data for MgSbAu after structural relaxation, as listed in Alexandria.

For the raw formation energy, the calculation gives -0.8 eV/f.u. The value obtained for the volume is 130 Å³ per cell. The total energy comes out at -9.75 eV per formula unit.

Geometry as POSCAR:
```
MgSbAu
1.0
-2.976 -1.151 -0.002
1.635 0.268 6.700
-2.182 5.641 0.307
Au Sb Mg
2 2 2
Cartesian
-0.994 1.399 3.611
-2.161 4.380 0.275
0.543 1.851 6.210
-2.064 4.193 4.377
-3.064 2.312 1.941
-1.973 -0.508 1.789
```



First-principles (PBE) data for MgSbAu after structural relaxation, as listed in Alexandria.

For the raw formation energy, the calculation gives -0.9 eV/f.u. The value obtained for the volume is 145 Å³ per cell. The total energy comes out at -9.87 eV per formula unit.

Geometry as POSCAR:
```
MgSbAu
1.0
-3.060 -1.884 2.753
-0.303 -4.506 0.300
5.464 0.038 6.099
Mg Sb Au
2 2 2
Cartesian
0.546 -4.098 7.056
-0.248 -4.363 2.273
0.029 -1.978 4.213
3.303 -1.958 7.866
1.563 -4.349 4.294
3.406 -4.339 6.349
```



First-principles (PBE) data for MgSbAu after structural relaxation, as listed in Alexandria.

For the raw formation energy, the calculation gives -0.8 eV/f.u. The value obtained for the volume is 139 Å³ per cell. The total energy comes out at -9.78 eV per formula unit.

Geometry as POSCAR:
```
MgSbAu
1.0
-2.757 -2.732 2.387
1.935 -2.619 -3.323
5.888 -1.914 3.180
Sb Au Mg
2 2 2
Cartesian
3.674 -4.490 -0.648
0.574 -2.050 -1.196
4.610 -1.992 2.566
0.347 -4.331 2.377
0.478 -4.845 -0.366
3.201 -4.549 2.277
```



First-principles (PBE) data for MgSb2Au after structural relaxation, as listed in Alexandria.

For the raw formation energy, the calculation gives -0.2 eV/f.u. The value obtained for the volume is 94 Å³ per cell. The total energy comes out at -13.32 eV per formula unit.

Geometry as POSCAR:
```
MgSb2Au
1.0
4.156 0.000 0.000
0.000 5.160 0.000
0.000 0.000 4.367
Mg Sb Au
1 2 1
Cartesian
0.000 2.580 2.183
2.078 2.580 0.000
0.000 0.000 0.000
2.078 0.000 2.183
```



First-principles (PBE) data for MgSbAu2 after structural relaxation, as listed in Alexandria.

For the raw formation energy, the calculation gives -0.4 eV/f.u. The value obtained for the volume is 82 Å³ per cell. The total energy comes out at -12.63 eV per formula unit.

Geometry as POSCAR:
```
MgSbAu2
1.0
-1.586 -2.967 3.543
3.123 -1.677 3.363
-0.267 1.616 4.603
Au Mg Sb
2 1 1
Cartesian
0.952 -2.271 8.632
0.000 0.000 0.000
0.634 -1.514 5.754
0.317 -0.757 2.877
```



Question: Which value of total energy does entry 5 give?
Answer: -9.87 eV per formula unit



Question: Which of these has the lowest total energy?
Answer: number 7